DFT (PBE) results for a geometry-optimized LiCdPt4 structure.

The structure in POSCAR format:
```
LiCdPt4
1.0
5.308 0.000 0.000
2.654 4.597 0.000
2.654 1.532 4.334
Pt Li Cd
4 1 1
direct
0.876 0.375 0.375
0.375 0.876 0.375
0.375 0.375 0.876
0.375 0.375 0.375
0.000 0.000 0.000
0.750 0.750 0.750
```

Computed properties:
DFT total energy   -0.177 Ha/atom
Calculated formation energy   -0.33 eV/atom